ScAlGaNi2: optimized geometry, PBE.

- Distance to the lowest polymorph of the same formula: 0.00 eV/f.u.
- Energy of formation: -0.5227 eV per atom

abc: 6.5516 6.5516 6.0419
angles: 90.00 90.00 143.97
Closest atoms and distances in Å follow each position.
Atoms (fractional coordinates):
1 Sc 0.1262 0.8738 0.7500  6 Ni 2.66-2.74, 4 Ga 2.98
2 Sc 0.8738 0.1262 0.2500  6 Ni 2.66-2.74, 4 Ga 2.98
3 Al 0.1570 0.8430 0.2500  6 Ni 2.48-2.52
4 Al 0.8430 0.1570 0.7500  6 Ni 2.48-2.52
5 Ga 0.5000 0.5000 0.0000  2 Ni 2.38
6 Ga 0.5000 0.5000 0.5000  2 Ni 2.38
7 Ni 0.3097 0.6903 0.5238  1 Ga 2.38, 3 Al 2.48-2.52, 2 Ni 2.53
8 Ni 0.3097 0.6903 0.9762  1 Ga 2.38, 3 Al 2.48-2.52, 2 Ni 2.53
9 Ni 0.6903 0.3097 0.0238  1 Ga 2.38, 3 Al 2.48-2.52, 2 Ni 2.53
10 Ni 0.6903 0.3097 0.4762  1 Ga 2.38, 3 Al 2.48-2.52, 2 Ni 2.53

***

ScAlGa2Ni4: optimized geometry, PBE.

- Energy of formation: -0.5308 eV per atom

abc: 7.3146 7.3146 7.3146
angles: 33.24 33.24 33.24
Closest atoms and distances in Å follow each position.
Atoms (fractional coordinates):
1 Sc 0.0000 0.0000 0.0000  8 Ni 2.62-2.67
2 Al 0.5000 0.5000 0.5000  8 Ni 2.44-2.54
3 Ga 0.2511 0.2511 0.2511  8 Ni 2.51-2.72
4 Ga 0.7489 0.7489 0.7489  8 Ni 2.51-2.72
5 Ni 0.1289 0.1289 0.1289  4 Ga 2.53-2.60, 3 Al 2.54, 1 Sc 2.67
6 Ni 0.3823 0.3823 0.3823  1 Al 2.44, 4 Ga 2.51-2.72, 3 Sc 2.62
7 Ni 0.6177 0.6177 0.6177  1 Al 2.44, 4 Ga 2.51-2.72, 3 Sc 2.62
8 Ni 0.8711 0.8711 0.8711  4 Ga 2.53-2.60, 3 Al 2.54, 1 Sc 2.67

***

ScAlGa2Ni5: optimized geometry, PBE.

- Energy of formation: -0.2009 eV per atom

abc: 3.7113 3.7113 9.1142
angles: 90.00 90.00 90.00
Closest atoms and distances in Å follow each position.
Atoms (fractional coordinates):
1 Sc 0.0000 0.0000 0.0000  12 Ni 2.62-2.64
2 Al 0.0000 0.0000 0.5000  8 Ga 2.90
3 Ga 0.5000 0.5000 0.3658  4 Ni 2.36, 1 Ga 2.45
4 Ga 0.5000 0.5000 0.6342  4 Ni 2.36, 1 Ga 2.45
5 Ni 0.0000 0.5000 0.2056  2 Ga 2.36, 6 Ni 2.62-2.64, 2 Sc 2.64
6 Ni 0.0000 0.5000 0.7944  2 Ga 2.36, 6 Ni 2.62-2.64, 2 Sc 2.64
7 Ni 0.5000 0.0000 0.2056  2 Ga 2.36, 6 Ni 2.62-2.64, 2 Sc 2.64
8 Ni 0.5000 0.0000 0.7944  2 Ga 2.36, 6 Ni 2.62-2.64, 2 Sc 2.64
9 Ni 0.5000 0.5000 0.0000  4 Sc 2.62, 8 Ni 2.64

***

Sm3AlGa2Ni9: optimized geometry, PBE.

- Energy of formation: -0.1406 eV per atom

abc: 5.9521 5.9521 8.7146
angles: 90.00 90.00 120.00
Closest atoms and distances in Å follow each position.
Atoms (fractional coordinates):
1 Sm 0.0000 0.0000 0.0000  12 Ni 2.81-2.98
2 Sm 0.3333 0.6667 0.6918  9 Ni 3.00-3.19
3 Sm 0.6667 0.3333 0.3082  9 Ni 3.00-3.19
4 Al 0.0000 0.0000 0.5000  6 Ni 2.35
5 Ga 0.3333 0.6667 0.1828  6 Ni 2.24-2.34
6 Ga 0.6667 0.3333 0.8172  6 Ni 2.24-2.34
7 Ni 0.0000 0.5000 0.0000  2 Ga 2.34
8 Ni 0.1332 0.2664 0.2817  1 Ga 2.24, 1 Al 2.35, 2 Ni 2.38
9 Ni 0.1332 0.8668 0.2817  1 Ga 2.24, 1 Al 2.35, 2 Ni 2.38
10 Ni 0.2664 0.1332 0.7183  1 Ga 2.24, 1 Al 2.35, 2 Ni 2.38
11 Ni 0.5000 0.0000 0.0000  2 Ga 2.34
12 Ni 0.5000 0.5000 0.0000  2 Ga 2.34
13 Ni 0.7336 0.8668 0.2817  1 Ga 2.24, 1 Al 2.35, 2 Ni 2.38
14 Ni 0.8668 0.1332 0.7183  1 Ga 2.24, 1 Al 2.35, 2 Ni 2.38
15 Ni 0.8668 0.7336 0.7183  1 Ga 2.24, 1 Al 2.35, 2 Ni 2.38

***

SmAlGa2Ni4: optimized geometry, PBE.

- Energy of formation: -0.4940 eV per atom

abc: 8.5983 8.5983 8.5983
angles: 27.44 27.44 27.44
Closest atoms and distances in Å follow each position.
Atoms (fractional coordinates):
1 Sm 0.0000 0.0000 0.0000  6 Ni 2.96, 6 Ga 3.30
2 Al 0.5000 0.5000 0.5000  8 Ni 2.34-2.49
3 Ga 0.2403 0.2403 0.2403  7 Ni 2.41-2.64
4 Ga 0.7597 0.7597 0.7597  7 Ni 2.41-2.64
5 Ni 0.1341 0.1341 0.1341  3 Al 2.49, 4 Ga 2.57-2.64
6 Ni 0.4056 0.4056 0.4056  1 Al 2.34, 3 Ga 2.41
7 Ni 0.5944 0.5944 0.5944  1 Al 2.34, 3 Ga 2.41
8 Ni 0.8659 0.8659 0.8659  3 Al 2.49, 4 Ga 2.57-2.64

***

SmAlGa2Ni5: optimized geometry, PBE.

- Energy of formation: -0.0907 eV per atom

abc: 4.4716 4.4716 6.9653
angles: 90.00 90.00 90.00
Closest atoms and distances in Å follow each position.
Atoms (fractional coordinates):
1 Sm 0.0000 0.0000 0.0000  12 Ni 3.03-3.16
2 Al 0.0000 0.0000 0.5000  8 Ni 2.66
3 Ga 0.5000 0.5000 0.3261  5 Ni 2.25-2.27, 1 Ga 2.42
4 Ga 0.5000 0.5000 0.6739  5 Ni 2.25-2.27, 1 Ga 2.42
5 Ni 0.0000 0.5000 0.2939  2 Ga 2.25
6 Ni 0.0000 0.5000 0.7061  2 Ga 2.25
7 Ni 0.5000 0.0000 0.2939  2 Ga 2.25
8 Ni 0.5000 0.0000 0.7061  2 Ga 2.25
9 Ni 0.5000 0.5000 0.0000  2 Ga 2.27

***

Question: Which of these has the lowest energy of formation?
Answer: ScAlGa2Ni4

***

Question: Which value of energy of formation does entry 3 give?
Answer: -0.2009 eV per atom